No. 1
Material: Cs2TlSnTe4
Method: DFT, PBE
State: optimized geometry

Computed properties:
Its space-group type is Fddd (70). As for the crystal system: orthorhombic.

Cell: 7.143 8.770 13.761 Å, 83.93 74.96 65.97°
Atoms (fractional coordinates):
1 Te 0.231 0.206 0.874
2 Te 0.855 0.706 0.626
3 Te 0.439 0.706 0.374
4 Te 0.187 0.294 0.374
5 Te 0.519 0.294 0.626
6 Te 0.311 0.794 0.126
7 Te 0.895 0.794 0.874
8 Te 0.563 0.206 0.126
9 Cs 0.815 0.000 0.371
10 Cs 0.935 0.500 0.129
11 Cs 0.565 0.500 0.871
12 Cs 0.185 0.000 0.629
13 Tl 0.750 0.500 0.500
14 Tl 0.000 0.000 0.000
15 Sn 0.250 0.500 0.500
16 Sn 0.500 0.000 0.000

No. 2
Material: CsTl2SnTe4
Method: DFT, PBE
State: optimized geometry

Computed properties:
Its space-group type is C2/m (12). As for the crystal system: monoclinic.

Cell: 9.466 9.472 9.037 Å, 118.50 118.44 90.51°
Atoms (fractional coordinates):
1 Cs 0.000 0.500 0.500
2 Cs 0.000 0.500 0.000
3 Sn 0.500 0.500 0.500
4 Sn 0.000 0.000 0.000
5 Tl 0.500 0.500 0.000
6 Tl 0.500 0.000 0.000
7 Tl 0.000 0.000 0.500
8 Tl 0.500 0.000 0.500
9 Te 0.280 0.797 0.038
10 Te 0.732 0.768 0.517
11 Te 0.720 0.203 0.962
12 Te 0.732 0.768 0.983
13 Te 0.268 0.232 0.483
14 Te 0.297 0.780 0.538
15 Te 0.703 0.220 0.462
16 Te 0.268 0.232 0.017

No. 3
Material: Cs2TmSnTe4
Method: DFT, PBE
State: optimized geometry

Computed properties:
Its space-group type is Fddd (70). As for the crystal system: orthorhombic.

Cell: 7.219 8.776 14.311 Å, 84.05 75.39 65.71°
Atoms (fractional coordinates):
1 Tm 0.000 0.000 0.000
2 Tm 0.750 0.500 0.500
3 Te 0.158 0.288 0.388
4 Te 0.295 0.788 0.112
5 Te 0.592 0.212 0.112
6 Te 0.196 0.212 0.888
7 Te 0.455 0.712 0.388
8 Te 0.554 0.288 0.612
9 Te 0.917 0.788 0.888
10 Te 0.833 0.712 0.612
11 Cs 0.181 0.000 0.637
12 Cs 0.931 0.500 0.137
13 Cs 0.569 0.500 0.863
14 Cs 0.819 0.000 0.363
15 Sn 0.250 0.500 0.500
16 Sn 0.500 0.000 0.000

no.,formation energy from raw total energies (eV per formula unit)
1,-4.28
2,-2.13
3,-6.88